Entry 1:
TmTh: relaxed, PBE-GGA.

Results
Raw total energy = -5.92 eV per atom
ΔE_f = 29 meV per atom
Excess energy over the best structure of this formula in the dataset = 0.000 eV/atom
V = 31.37 Å³ per atom

abc: 3.5796 4.9976 7.0132
angles: 90.00 90.00 90.00
Fractional coordinates of all 4 atoms:
Tm: 0.2500 0.2500 0.1284
Tm: 0.7500 0.7500 0.8716
Th: 0.2500 0.2500 0.6191
Th: 0.7500 0.7500 0.3809

=====

Entry 2:
TmTh: relaxed, PBE-GGA.

Results
Raw total energy = -5.91 eV per atom
ΔE_f = 35 meV per atom
Excess energy over the best structure of this formula in the dataset = 0.006 eV/atom
V = 31.35 Å³ per atom

abc: 3.5320 3.5494 5.0013
angles: 90.00 90.00 90.00
Fractional coordinates of all 2 atoms:
Tm: 0.0000 0.0000 0.0000
Th: 0.5000 0.5000 0.5000